Entry from Alexandria: an optimized crystal structure of Pm2InNi2Pt5 (PBE). Values from VASP.

Cell and atoms, written as Quantum ESPRESSO input:
```
&SYSTEM
  ibrav = 0, nat = 20, ntyp = 4
/
ATOMIC_SPECIES
Pm 145.00 Pm.upf
In 114.82 In.upf
Ni 58.69 Ni.upf
Pt 195.08 Pt.upf
CELL_PARAMETERS angstrom
4.023 0.000 0.000
0.000 9.401 0.000
0.000 0.000 9.401
ATOMIC_POSITIONS crystal
Pm 0.000 0.675 0.175
Pm 0.000 0.325 0.825
Pm 0.000 0.175 0.325
Pm 0.000 0.825 0.675
In 0.000 0.000 0.000
In 0.000 0.500 0.500
Ni 0.000 0.121 0.621
Ni 0.000 0.879 0.379
Ni 0.000 0.621 0.879
Ni 0.000 0.379 0.121
Pt 0.500 0.211 0.070
Pt 0.500 0.789 0.930
Pt 0.500 0.070 0.789
Pt 0.500 0.711 0.430
Pt 0.500 0.930 0.211
Pt 0.500 0.289 0.570
Pt 0.500 0.570 0.711
Pt 0.500 0.430 0.289
Pt 0.500 0.500 0.000
Pt 0.500 0.000 0.500
```

Computed properties:
- formation energy (meV per atom) = -796
- VASP energy (eV/atom) = -6.196


Entry from Alexandria: an optimized crystal structure of Cd2NiHgSb (PBE). Values from VASP.

Cell and atoms, written as Quantum ESPRESSO input:
```
&SYSTEM
  ibrav = 0, nat = 5, ntyp = 4
/
ATOMIC_SPECIES
Sb 121.76 Sb.upf
Ni 58.69 Ni.upf
Hg 200.59 Hg.upf
Cd 112.41 Cd.upf
CELL_PARAMETERS angstrom
5.138 0.000 0.000
0.000 5.138 0.000
0.000 0.000 4.757
ATOMIC_POSITIONS crystal
Sb 0.000 0.000 0.500
Ni 0.000 0.000 0.000
Hg 0.500 0.500 0.500
Cd 0.000 0.500 0.000
Cd 0.500 0.000 0.000
```

Computed properties:
- VASP energy (eV/atom) = -2.352
- formation energy from raw total energies (kJ/mol of atoms) = 5.3


Entry from Alexandria: an optimized crystal structure of MnGa2Sn (PBE). Values from VASP.

Cell and atoms, written as Quantum ESPRESSO input:
```
&SYSTEM
  ibrav = 0, nat = 8, ntyp = 3
/
ATOMIC_SPECIES
Mn 54.94 Mn.upf
Sn 118.71 Sn.upf
Ga 69.72 Ga.upf
CELL_PARAMETERS angstrom
-0.578 -0.027 -4.144
3.631 -2.020 -0.493
-2.829 -9.012 -1.660
ATOMIC_POSITIONS crystal
Mn 0.500 0.500 0.000
Mn 0.250 0.750 0.500
Sn 0.000 0.000 0.000
Sn 0.750 0.250 0.500
Ga 0.563 0.125 0.250
Ga 0.187 0.625 0.250
Ga 0.375 0.437 0.750
Ga 0.875 0.813 0.750
```

Computed properties:
- formation energy (meV per atom) = 160
- VASP energy (eV/atom) = -4.647